P) Compound: BaCa2RhPb
Source: Alexandria
Functional: PBE-GGA
Structure: relaxed

Results
Its density is 4.95 g cm⁻³. The value obtained for the density of states at the Fermi level is 1.319 states/eV/atom. The total moment comes out at 0.00 μB per formula unit.

Unit cell a=5.488 b=5.488 c=5.873 alpha=90.00 beta=90.00 gamma=90.00
Space group P4/mmm (No. 123)
Unique sites:
Ba (0.000, 0.000, 0.000) [1 per cell]
Ca (0.000, 0.500, 0.500) [2 per cell]
Rh (0.000, 0.000, 0.500) [1 per cell]
Pb (0.500, 0.500, 0.000) [1 per cell]


Q) Compound: BaCa2RhPb
Source: Alexandria
Functional: PBE-GGA
Structure: relaxed

Results
Its density is 5.29 g cm⁻³. The value obtained for the density of states at the Fermi level is 0.596 states/eV/atom. The total moment comes out at 0.00 μB per formula unit.

Unit cell a=5.525 b=5.525 c=5.428 alpha=90.00 beta=90.00 gamma=90.00
Space group P4/mmm (No. 123)
Unique sites:
Ba (0.000, 0.000, 0.000) [1 per cell]
Ca (0.000, 0.500, 0.500) [2 per cell]
Rh (0.500, 0.500, 0.500) [1 per cell]
Pb (0.500, 0.500, 0.000) [1 per cell]


Most stable of them? Q).


P) Compound: Ba2CaPd2
Source: Alexandria
Functional: PBE-GGA
Structure: relaxed

Results
Its density is 5.32 g cm⁻³. The value obtained for the density of states at the Fermi level is 0.590 states/eV/atom. The total moment comes out at 0.00 μB per formula unit.

Unit cell a=4.394 b=7.091 c=10.574 alpha=90.00 beta=90.00 gamma=90.00
Space group Immm (No. 71)
Unique sites:
Ba (0.000, 0.000, 0.191) [4 per cell]
Ca (0.000, 0.500, 0.000) [2 per cell]
Pd (0.000, 0.293, 0.500) [4 per cell]


Q) Compound: Ba2CaPd2
Source: Alexandria
Functional: PBE-GGA
Structure: relaxed

Results
Its density is 5.18 g cm⁻³. The value obtained for the density of states at the Fermi level is 0.019 states/eV/atom. The total moment comes out at 0.00 μB per formula unit.

Unit cell a=5.005 b=5.005 c=13.502 alpha=90.00 beta=90.00 gamma=90.00
Space group I4/mmm (No. 139)
Unique sites:
Ba (0.000, 0.500, 0.250) [4 per cell]
Ca (0.000, 0.000, 0.000) [2 per cell]
Pd (0.000, 0.000, 0.402) [4 per cell]


R) Compound: Ba2CaPd2
Source: Alexandria
Functional: PBE-GGA
Structure: relaxed

Results
Its density is 4.67 g cm⁻³. The value obtained for the density of states at the Fermi level is 0.428 states/eV/atom. The total moment comes out at 0.00 μB per formula unit.

Unit cell a=5.704 b=5.704 c=11.528 alpha=90.00 beta=90.00 gamma=90.00
Space group I4/mmm (No. 139)
Unique sites:
Ba (0.000, 0.000, 0.160) [4 per cell]
Ca (0.000, 0.000, 0.500) [2 per cell]
Pd (0.000, 0.500, 0.250) [4 per cell]


S) Compound: Ba2CaPd2
Source: Alexandria
Functional: PBE-GGA
Structure: relaxed

Results
Its density is 5.62 g cm⁻³. The value obtained for the density of states at the Fermi level is 0.471 states/eV/atom. The total moment comes out at 0.00 μB per formula unit.

Unit cell a=9.214 b=9.214 c=3.670 alpha=90.00 beta=90.00 gamma=90.00
Space group P4/mbm (No. 127)
Unique sites:
Ba (0.136, 0.364, 0.000) [4 per cell]
Ca (0.000, 0.000, 0.000) [2 per cell]
Pd (0.168, 0.668, 0.500) [4 per cell]


Most stable of them? P).


P) Compound: BaCaPd
Source: Alexandria
Functional: PBE-GGA
Structure: relaxed

Results
Its density is 4.40 g cm⁻³. The value obtained for the density of states at the Fermi level is 0.573 states/eV/atom. The total moment comes out at 0.00 μB per formula unit.

Unit cell a=4.032 b=4.474 c=11.883 alpha=90.00 beta=90.18 gamma=90.00
Space group P2_1/m (No. 11)
Unique sites:
Ba (0.003, 0.250, 0.351) [2 per cell]
Ca (0.499, 0.250, 0.885) [2 per cell]
Pd (0.001, 0.250, 0.079) [2 per cell]


Q) Compound: BaCaPd
Source: Alexandria
Functional: PBE-GGA
Structure: relaxed

Results
Its density is 4.65 g cm⁻³. The value obtained for the density of states at the Fermi level is 0.327 states/eV/atom. The total moment comes out at 0.00 μB per formula unit.

Unit cell a=3.792 b=3.792 c=14.106 alpha=90.00 beta=90.00 gamma=90.00
Space group I4mm (No. 107)
Unique sites:
Ba (0.000, 0.000, 0.000) [2 per cell]
Ca (0.000, 0.000, 0.253) [2 per cell]
Pd (0.000, 0.000, 0.647) [2 per cell]


Most stable of them? P).


P) Compound: BaCaPd
Source: Alexandria
Functional: PBE-GGA
Structure: relaxed

Results
Its density is 4.00 g cm⁻³. The value obtained for the density of states at the Fermi level is 0.309 states/eV/atom. The total moment comes out at 0.00 μB per formula unit.

Unit cell a=4.4516 b=4.4516 c=6.8713 alpha=90.00 beta=90.00 gamma=120.00
Space group P3m1 (No. 156)
Unique sites:
Ba (0.0000, 0.0000, 0.0000) [1 per cell]
Ca (0.6667, 0.3333, 0.4680) [1 per cell]
Pd (0.3333, 0.6667, 0.2693) [1 per cell]


Q) Compound: BaCaPd
Source: Alexandria
Functional: PBE-GGA
Structure: relaxed

Results
Its density is 4.50 g cm⁻³. The value obtained for the density of states at the Fermi level is 0.586 states/eV/atom. The total moment comes out at 0.00 μB per formula unit.

Unit cell a=5.515 b=5.904 c=6.571 alpha=101.60 beta=90.06 gamma=90.09
Space group P-1 (No. 2)
Unique sites:
Ba (0.250, 0.214, 0.400) [2 per cell]
Ca (0.250, 0.691, 0.997) [2 per cell]
Pd (0.249, 0.153, 0.869) [2 per cell]


Most stable of them? Q).


P) Compound: BaCaPd
Source: Alexandria
Functional: PBE-GGA
Structure: relaxed

Results
Its density is 4.42 g cm⁻³. The value obtained for the density of states at the Fermi level is 0.118 states/eV/atom. The total moment comes out at 0.00 μB per formula unit.

Unit cell a=7.527 b=7.527 c=7.527 alpha=90.00 beta=90.00 gamma=90.00
Space group F-43m (No. 216)
Unique sites:
Ba (0.000, 0.000, 0.000) [4 per cell]
Ca (0.000, 0.000, 0.500) [4 per cell]
Pd (0.250, 0.250, 0.250) [4 per cell]


Q) Compound: BaCaPd
Source: Alexandria
Functional: PBE-GGA
Structure: relaxed

Results
Its density is 3.96 g cm⁻³. The value obtained for the density of states at the Fermi level is 0.363 states/eV/atom. The total moment comes out at 0.00 μB per formula unit.

Unit cell a=7.089 b=8.763 c=7.663 alpha=90.00 beta=91.83 gamma=90.00
Space group P2_1/c (No. 14)
Unique sites:
Ba (0.246, 0.124, 0.408) [4 per cell]
Ca (0.290, 0.627, 0.412) [4 per cell]
Pd (0.497, 0.625, 0.743) [4 per cell]


Most stable of them? Q).


P) Compound: BaCaPd3
Source: Alexandria
Functional: PBE-GGA
Structure: relaxed

Results
Its density is 5.14 g cm⁻³. The value obtained for the density of states at the Fermi level is 0.656 states/eV/atom. The total moment comes out at 0.00 μB per formula unit.

Unit cell a=5.434 b=5.434 c=5.434 alpha=90.00 beta=90.00 gamma=90.00
Space group Pm-3m (No. 221)
Unique sites:
Ba (0.000, 0.000, 0.000) [1 per cell]
Ca (0.500, 0.500, 0.500) [1 per cell]
Pd (0.000, 0.000, 0.500) [3 per cell]


Q) Compound: BaCaPd3
Source: Alexandria
Functional: PBE-GGA
Structure: relaxed

Results
Its density is 5.91 g cm⁻³. The value obtained for the density of states at the Fermi level is 0.658 states/eV/atom. The total moment comes out at 0.00 μB per formula unit.

Unit cell a=5.188 b=5.188 c=5.188 alpha=90.00 beta=90.00 gamma=90.00
Space group Pm-3m (No. 221)
Unique sites:
Ba (0.000, 0.000, 0.000) [1 per cell]
Ca (0.500, 0.500, 0.500) [1 per cell]
Pd (0.000, 0.500, 0.500) [3 per cell]


Most stable of them? Q).


P) Compound: RbBa2CaPd
Source: Alexandria
Functional: PBE-GGA
Structure: relaxed

Results
Its density is 3.38 g cm⁻³. The value obtained for the density of states at the Fermi level is 0.794 states/eV/atom. The total moment comes out at 0.00 μB per formula unit.

Unit cell a=6.446 b=6.446 c=5.988 alpha=90.00 beta=90.00 gamma=90.00
Space group P4/mmm (No. 123)
Unique sites:
Rb (0.000, 0.000, 0.000) [1 per cell]
Ba (0.000, 0.500, 0.500) [2 per cell]
Ca (0.500, 0.500, 0.000) [1 per cell]
Pd (0.500, 0.500, 0.500) [1 per cell]


Q) Compound: RbBa2CaPd
Source: Alexandria
Functional: PBE-GGA
Structure: relaxed

Results
Its density is 3.19 g cm⁻³. The value obtained for the density of states at the Fermi level is 0.914 states/eV/atom. The total moment comes out at 0.00 μB per formula unit.

Unit cell a=6.282 b=6.282 c=6.674 alpha=90.00 beta=90.00 gamma=90.00
Space group P4/mmm (No. 123)
Unique sites:
Rb (0.000, 0.000, 0.000) [1 per cell]
Ba (0.000, 0.500, 0.500) [2 per cell]
Ca (0.500, 0.500, 0.000) [1 per cell]
Pd (0.000, 0.000, 0.500) [1 per cell]


Most stable of them? P).


P) Compound: Ba2SrCaPd
Source: Alexandria
Functional: PBE-GGA
Structure: relaxed

Results
Its density is 3.57 g cm⁻³. The value obtained for the density of states at the Fermi level is 0.936 states/eV/atom. The total moment comes out at 0.00 μB per formula unit.

Unit cell a=6.349 b=6.349 c=5.872 alpha=90.00 beta=90.00 gamma=90.00
Space group P4/mmm (No. 123)
Unique sites:
Ba (0.000, 0.500, 0.000) [2 per cell]
Sr (0.000, 0.000, 0.500) [1 per cell]
Ca (0.500, 0.500, 0.500) [1 per cell]
Pd (0.500, 0.500, 0.000) [1 per cell]


Q) Compound: Ba2SrCaPd
Source: Alexandria
Functional: PBE-GGA
Structure: relaxed

Results
Its density is 3.29 g cm⁻³. The value obtained for the density of states at the Fermi level is 1.424 states/eV/atom. The total moment comes out at 0.93 μB per formula unit.

Unit cell a=7.021 b=7.021 c=5.210 alpha=90.00 beta=90.00 gamma=90.00
Space group P4/mmm (No. 123)
Unique sites:
Ba (0.000, 0.500, 0.000) [2 per cell]
Sr (0.000, 0.000, 0.000) [1 per cell]
Ca (0.500, 0.500, 0.500) [1 per cell]
Pd (0.000, 0.000, 0.500) [1 per cell]


Most stable of them? P).